Model one:
# PBE Mn3TcN, relaxed
# * spin magnetization: 8.357 μB/cell
# * density: 4.59 g cm⁻³
data_Mn3TcN
_chemical_formula_sum 'Mn3 Tc1 N1'
_symmetry_space_group_name_H-M 'P 1'
_symmetry_Int_Tables_number 1
_cell_length_a 4.643
_cell_length_b 4.643
_cell_length_c 4.643
_cell_angle_alpha 90.00
_cell_angle_beta 90.00
_cell_angle_gamma 90.00
loop_
_symmetry_equiv_pos_as_xyz
'x,y,z'
loop_
_atom_site_label
_atom_site_fract_x
_atom_site_fract_y
_atom_site_fract_z
Mn1 0.000 0.000 0.500
Mn2 0.000 0.500 0.000
Mn3 0.500 0.000 0.000
Tc1 0.000 0.000 0.000
N1 0.500 0.500 0.500

=====

Model two:
# PBE Mn3TcN, relaxed
# * spin magnetization: 0.000 μB/cell
# * density: 8.65 g cm⁻³
data_Mn3TcN
_chemical_formula_sum 'Mn3 Tc1 N1'
_symmetry_space_group_name_H-M 'P 1'
_symmetry_Int_Tables_number 1
_cell_length_a 3.760
_cell_length_b 3.760
_cell_length_c 3.760
_cell_angle_alpha 90.00
_cell_angle_beta 90.00
_cell_angle_gamma 90.00
loop_
_symmetry_equiv_pos_as_xyz
'x,y,z'
loop_
_atom_site_label
_atom_site_fract_x
_atom_site_fract_y
_atom_site_fract_z
Mn1 0.000 0.000 0.500
Mn2 0.000 0.500 0.000
Mn3 0.500 0.000 0.000
Tc1 0.500 0.500 0.500
N1 0.000 0.000 0.000

=====

Going by the energies, model two is most stable and the next is 2242 meV per atom up.